Co3Ni3Se8 | PBE | relaxed

Output
space group	R-3m
calculated volume	243.9	Å³/cell
VASP energy	-5.09	eV/atom

Lattice parameters (Å, degrees): 7.032 7.032 7.032 59.64 59.64 59.64
Positions (direct):
Co 0.000 0.500 0.500
Co 0.500 0.000 0.500
Co 0.500 0.500 0.000
Ni 0.126 0.126 0.126
Ni 0.500 0.500 0.500
Ni 0.874 0.874 0.874
Se 0.257 0.257 0.722
Se 0.257 0.722 0.257
Se 0.260 0.260 0.260
Se 0.278 0.743 0.743
Se 0.722 0.257 0.257
Se 0.740 0.740 0.740
Se 0.743 0.278 0.743
Se 0.743 0.743 0.278



LiTmZnPb | PBE | relaxed

Output
space group	F-43m
calculated volume	89.0	Å³/cell
energy of formation from the pure elements	-0.311	eV/atom
VASP energy	-3.15	eV/atom

Lattice parameters (Å, degrees): 5.012 5.012 5.012 60.00 60.00 60.00
Positions (direct):
Li 0.000 0.000 0.000
Tm 0.500 0.500 0.500
Zn 0.250 0.250 0.250
Pb 0.750 0.750 0.750



CaTe2As | PBE | relaxed

Output
space group	Immm
calculated volume	111.2	Å³/cell
VASP energy	-3.78	eV/atom

Lattice parameters (Å, degrees): 6.027 6.027 6.027 139.28 127.61 68.40
Positions (direct):
Ca 0.000 0.000 0.000
Te 0.300 0.800 0.500
Te 0.700 0.200 0.500
As 0.500 0.500 0.000



BiBSN2 | PBE | relaxed

Output
ΔE to the lowest computed polymorph	0	meV per atom
space group	P4/mmm
calculated volume	59.7	Å³/cell
VASP energy	-4.94	eV/atom

Lattice parameters (Å, degrees): 3.829 3.829 4.068 90.00 90.00 90.00
Positions (direct):
Bi 0.000 0.000 0.000
B 0.500 0.500 0.500
S 0.500 0.500 0.000
N 0.000 0.500 0.500
N 0.500 0.000 0.500



GdThZnRe | PBE | relaxed

Output
space group	F-43m
calculated volume	91.1	Å³/cell
energy of formation from the pure elements	-0.014	eV/atom
VASP energy	-8.82	eV/atom

Lattice parameters (Å, degrees): 5.051 5.051 5.051 60.00 60.00 60.00
Positions (direct):
Gd 0.000 0.000 0.000
Th 0.500 0.500 0.500
Zn 0.750 0.750 0.750
Re 0.250 0.250 0.250



ErIn3Rh | PBE | relaxed

Output
space group	C2/m
calculated volume	245.1	Å³/cell
energy of formation from the pure elements	-0.331	eV/atom
VASP energy	-4.36	eV/atom

Lattice parameters (Å, degrees): 6.842 6.842 7.094 120.75 120.75 73.59
Positions (direct):
Er 0.053 0.053 0.281
Er 0.947 0.947 0.719
In 0.111 0.491 0.843
In 0.427 0.427 0.627
In 0.491 0.111 0.843
In 0.509 0.889 0.157
In 0.573 0.573 0.373
In 0.889 0.509 0.157
Rh 0.255 0.255 0.122
Rh 0.745 0.745 0.878



ReRh | PBE | relaxed

Output
ΔE to the lowest computed polymorph	451	meV per atom
space group	P4mm
calculated volume	119.0	Å³/cell
energy of formation from the pure elements	0.274	eV/atom
VASP energy	-9.63	eV/atom

Lattice parameters (Å, degrees): 3.273 3.273 11.104 90.00 90.00 90.00
Positions (direct):
Re 0.000 0.000 0.000
Re 0.000 0.000 0.247
Re 0.000 0.000 0.507
Re 0.500 0.500 0.879
Rh 0.000 0.000 0.748
Rh 0.500 0.500 0.135
Rh 0.500 0.500 0.375
Rh 0.500 0.500 0.618



PtSOF2 | PBE | relaxed

Output
ΔE to the lowest computed polymorph	0	meV per atom
space group	P4/mmm
calculated volume	74.9	Å³/cell
VASP energy	-3.78	eV/atom

Lattice parameters (Å, degrees): 4.447 4.447 3.789 90.00 90.00 90.00
Positions (direct):
Pt 0.000 0.000 0.000
S 0.500 0.500 0.500
O 0.000 0.000 0.500
F 0.000 0.500 0.000
F 0.500 0.000 0.000



La3Er3Th2 | PBE | relaxed

Output
ΔE to the lowest computed polymorph	4	meV per atom
space group	P-1
calculated volume	265.1	Å³/cell
energy of formation from the pure elements	0.042	eV/atom
VASP energy	-5.37	eV/atom

Lattice parameters (Å, degrees): 6.229 6.273 8.062 104.79 104.64 110.13
Positions (direct):
La 0.000 0.000 0.000
La 0.134 0.634 0.268
La 0.866 0.366 0.732
Er 0.374 0.874 0.748
Er 0.500 0.500 0.000
Er 0.626 0.126 0.252
Th 0.253 0.253 0.507
Th 0.747 0.747 0.493



Sc2TeP | PBE | relaxed

Output
ΔE to the lowest computed polymorph	305	meV per atom
space group	Amm2
calculated volume	96.3	Å³/cell
VASP energy	-6.39	eV/atom

Lattice parameters (Å, degrees): 3.837 6.827 6.827 32.59 90.00 90.00
Positions (direct):
Sc 0.000 0.000 0.000
Sc 0.500 0.323 0.323
Te 0.500 0.562 0.562
P 0.000 0.808 0.808



Nb2H3Ru2 | PBE | relaxed

Output
space group	I2_13
calculated volume	142.1	Å³/cell
VASP energy	-7.11	eV/atom

Lattice parameters (Å, degrees): 5.694 5.694 5.694 109.47 109.47 109.47
Positions (direct):
Nb 0.000 0.475 0.500
Nb 0.025 0.025 0.025
Nb 0.475 0.500 0.000
Nb 0.500 0.000 0.475
H 0.225 0.750 0.975
H 0.250 0.525 0.275
H 0.275 0.250 0.525
H 0.525 0.275 0.250
H 0.750 0.975 0.225
H 0.975 0.225 0.750
Ru 0.000 0.937 0.500
Ru 0.500 0.000 0.937
Ru 0.563 0.563 0.563
Ru 0.937 0.500 0.000



NiSn2Bi | PBE | relaxed

Output
space group	R3m
calculated volume	100.3	Å³/cell
energy of formation from the pure elements	0.014	eV/atom
VASP energy	-4.40	eV/atom

Lattice parameters (Å, degrees): 7.052 7.052 7.052 34.49 34.49 34.49
Positions (direct):
Ni 0.000 0.000 0.000
Sn 0.379 0.379 0.379
Sn 0.604 0.604 0.604
Bi 0.147 0.147 0.147



KNa2TlGa | PBE | relaxed

Output
ΔE to the lowest computed polymorph	0	meV per atom
space group	P4/mmm
calculated volume	187.3	Å³/cell
energy of formation from the pure elements	0.027	eV/atom
VASP energy	-1.80	eV/atom

Lattice parameters (Å, degrees): 5.888 5.888 5.402 90.00 90.00 90.00
Positions (direct):
K 0.000 0.000 0.000
Na 0.000 0.500 0.500
Na 0.500 0.000 0.500
Tl 0.500 0.500 0.000
Ga 0.500 0.500 0.500



CaCI2 | PBE | relaxed

Output
ΔE to the lowest computed polymorph	74	meV per atom
space group	Cm
calculated volume	423.2	Å³/cell
VASP energy	-4.19	eV/atom

Lattice parameters (Å, degrees): 8.191 8.191 10.415 97.63 97.63 37.71
Positions (direct):
Ca 0.000 0.000 0.000
Ca 0.245 0.245 0.938
C 0.137 0.137 0.222
C 0.153 0.153 0.108
I 0.076 0.076 0.745
I 0.114 0.114 0.407
I 0.432 0.432 0.117
I 0.811 0.811 0.824



Dy8Cu2Ru | PBE | relaxed

Output
ΔE to the lowest computed polymorph	114	meV per atom
space group	Cm
calculated volume	290.7	Å³/cell
energy of formation from the pure elements	-0.060	eV/atom
VASP energy	-5.00	eV/atom

Lattice parameters (Å, degrees): 7.767 7.767 5.766 100.87 100.87 116.46
Positions (direct):
Dy 0.000 0.000 0.000
Dy 0.023 0.270 0.568
Dy 0.154 0.565 0.183
Dy 0.270 0.023 0.568
Dy 0.448 0.694 0.782
Dy 0.565 0.154 0.183
Dy 0.694 0.448 0.782
Dy 0.724 0.724 0.371
Cu 0.060 0.663 0.685
Cu 0.663 0.060 0.685
Ru 0.364 0.364 0.284



CoH2I | PBE | relaxed

Output
ΔE to the lowest computed polymorph	649	meV per atom
space group	Fm-3m
calculated volume	43.1	Å³/cell
VASP energy	-2.62	eV/atom

Lattice parameters (Å, degrees): 3.936 3.936 3.936 60.00 60.00 60.00
Positions (direct):
Co 0.000 0.000 0.000
H 0.250 0.250 0.250
H 0.750 0.750 0.750
I 0.500 0.500 0.500



Ce8Co2Ru | PBE | relaxed

Output
ΔE to the lowest computed polymorph	0	meV per atom
space group	C2/m
calculated volume	255.7	Å³/cell
energy of formation from the pure elements	-0.105	eV/atom
VASP energy	-6.56	eV/atom

Lattice parameters (Å, degrees): 7.303 7.303 5.721 100.20 100.20 117.04
Positions (direct):
Ce 0.102 0.327 0.590
Ce 0.220 0.780 0.000
Ce 0.327 0.102 0.590
Ce 0.376 0.376 0.174
Ce 0.624 0.624 0.826
Ce 0.673 0.898 0.410
Ce 0.780 0.220 0.000
Ce 0.898 0.673 0.410
Co 0.291 0.709 0.500
Co 0.709 0.291 0.500
Ru 0.000 0.000 0.000



CeAlGePt3 | PBE | relaxed

Output
space group	Cmcm
calculated volume	256.0	Å³/cell
energy of formation from the pure elements	-0.775	eV/atom
VASP energy	-6.18	eV/atom

Lattice parameters (Å, degrees): 8.496 8.496 5.634 90.00 90.00 140.99
Positions (direct):
Ce 0.197 0.803 0.750
Ce 0.803 0.197 0.250
Al 0.406 0.594 0.250
Al 0.594 0.406 0.750
Ge 0.095 0.905 0.250
Ge 0.905 0.095 0.750
Pt 0.251 0.251 0.000
Pt 0.251 0.251 0.500
Pt 0.251 0.749 0.250
Pt 0.749 0.251 0.750
Pt 0.749 0.749 0.000
Pt 0.749 0.749 0.500



Ba3Tb | PBE | relaxed

Output
ΔE to the lowest computed polymorph	13	meV per atom
space group	I4/mmm
calculated volume	204.3	Å³/cell
energy of formation from the pure elements	0.232	eV/atom
VASP energy	-2.37	eV/atom

Lattice parameters (Å, degrees): 7.176 7.176 7.176 131.27 131.27 71.39
Positions (direct):
Ba 0.000 0.000 0.000
Ba 0.250 0.750 0.500
Ba 0.750 0.250 0.500
Tb 0.500 0.500 0.000



Hf2TaMn9 | PBE | relaxed

Output
space group	R-3m
calculated volume	158.6	Å³/cell
energy of formation from the pure elements	-0.095	eV/atom
VASP energy	-9.62	eV/atom

Lattice parameters (Å, degrees): 8.444 8.444 8.444 32.96 32.96 32.96
Positions (direct):
Hf 0.141 0.141 0.141
Hf 0.859 0.859 0.859
Ta 0.000 0.000 0.000
Mn 0.071 0.588 0.588
Mn 0.338 0.338 0.338
Mn 0.412 0.412 0.929
Mn 0.412 0.929 0.412
Mn 0.500 0.500 0.500
Mn 0.588 0.071 0.588
Mn 0.588 0.588 0.071
Mn 0.662 0.662 0.662
Mn 0.929 0.412 0.412



CaRe3Au | PBE | relaxed

Output
ΔE to the lowest computed polymorph	0	meV per atom
space group	Pm-3m
calculated volume	117.9	Å³/cell
energy of formation from the pure elements	2.427	eV/atom
VASP energy	-6.10	eV/atom

Lattice parameters (Å, degrees): 4.903 4.903 4.903 90.00 90.00 90.00
Positions (direct):
Ca 0.000 0.000 0.000
Re 0.000 0.500 0.500
Re 0.500 0.000 0.500
Re 0.500 0.500 0.000
Au 0.500 0.500 0.500



TlGeAu | PBE | relaxed

Output
space group	P2_1/c
calculated volume	300.4	Å³/cell
energy of formation from the pure elements	0.021	eV/atom
VASP energy	-3.40	eV/atom

Lattice parameters (Å, degrees): 7.982 6.497 6.302 90.00 113.20 90.00
Positions (direct):
Tl 0.156 0.000 0.328
Tl 0.156 0.500 0.828
Tl 0.844 0.000 0.672
Tl 0.844 0.500 0.172
Ge 0.298 0.001 0.899
Ge 0.298 0.499 0.399
Ge 0.702 0.501 0.601
Ge 0.702 0.999 0.101
Au 0.499 0.750 0.250
Au 0.499 0.750 0.750
Au 0.501 0.250 0.250
Au 0.501 0.250 0.750



HoSc2Au4 | PBE | relaxed

Output
space group	P4/mmm
calculated volume	155.6	Å³/cell
energy of formation from the pure elements	-0.600	eV/atom
VASP energy	-4.94	eV/atom

Lattice parameters (Å, degrees): 4.808 4.808 6.734 90.00 90.00 90.00
Positions (direct):
Ho 0.000 0.000 0.000
Sc 0.000 0.000 0.500
Sc 0.500 0.500 0.000
Au 0.000 0.500 0.262
Au 0.000 0.500 0.738
Au 0.500 0.000 0.262
Au 0.500 0.000 0.738



Sm3Th | PBE | relaxed

Output
ΔE to the lowest computed polymorph	27	meV per atom
space group	Pm-3m
calculated volume	133.1	Å³/cell
energy of formation from the pure elements	0.054	eV/atom
VASP energy	-5.34	eV/atom

Lattice parameters (Å, degrees): 5.106 5.106 5.106 90.00 90.00 90.00
Positions (direct):
Sm 0.000 0.000 0.500
Sm 0.000 0.500 0.000
Sm 0.500 0.000 0.000
Th 0.500 0.500 0.500



Pm5Sn | PBE | relaxed

Output
ΔE to the lowest computed polymorph	26	meV per atom
space group	Cmme
calculated volume	375.5	Å³/cell
energy of formation from the pure elements	-0.237	eV/atom
VASP energy	-4.86	eV/atom

Lattice parameters (Å, degrees): 6.186 6.186 10.564 90.00 90.00 111.75
Positions (direct):
Pm 0.250 0.250 0.177
Pm 0.250 0.250 0.500
Pm 0.250 0.250 0.823
Pm 0.250 0.750 0.327
Pm 0.250 0.750 0.979
Pm 0.750 0.250 0.021
Pm 0.750 0.250 0.673
Pm 0.750 0.750 0.177
Pm 0.750 0.750 0.500
Pm 0.750 0.750 0.823
Sn 0.250 0.750 0.655
Sn 0.750 0.250 0.345